Record 1
PaNiAgS4 | PBE | optimized geometry

Cell: 6.678 5.459 8.631 Å, 90.00 102.80 90.00°
Fractional coordinates of all 14 atoms:
S: 0.411 0.750 0.575
S: 0.527 0.250 0.835
S: 0.997 0.985 0.706
S: 0.473 0.750 0.165
S: 0.003 0.015 0.294
S: 0.589 0.250 0.425
S: 0.997 0.515 0.706
S: 0.003 0.485 0.294
Ag: 0.589 0.250 0.130
Ag: 0.411 0.750 0.870
Ni: 0.746 0.250 0.677
Ni: 0.254 0.750 0.323
Pa: 0.254 0.250 0.557
Pa: 0.746 0.750 0.443

E_form (uncorrected) = -0.805 eV per atom

Record 2
MgTaOs | PBE | optimized geometry

Cell: 4.470 4.470 2.859 Å, 90.00 90.00 120.00°
Fractional coordinates of all 3 atoms:
Ta: 0.667 0.333 0.620
Mg: 0.000 0.000 0.027
Os: 0.333 0.667 0.353

formation energy from the elements = 0.03 eV/atom
energy relative to the lowest polymorph listed for this composition = 19 meV/atom

Record 3
SrYPt2 | PBE | optimized geometry

Cell: 7.759 7.759 6.499 Å, 53.35 53.35 90.00°
Fractional coordinates of all 8 atoms:
Pt: 0.652 0.125 0.250
Pt: 0.875 0.902 0.750
Pt: 0.098 0.625 0.250
Pt: 0.375 0.348 0.750
Y: 0.000 0.000 0.000
Y: 0.750 0.250 0.500
Sr: 0.250 0.750 0.500
Sr: 0.500 0.500 0.000

formation energy from the elements = -0.59 eV/atom
energy relative to the lowest polymorph listed for this composition = 431 meV/atom

Record 4
CdHRh3 | PBE | optimized geometry

Cell: 4.848 5.783 4.920 Å, 107.08 80.20 89.61°
Fractional coordinates of all 10 atoms:
Cd: 0.180 0.219 0.474
Cd: 0.896 0.092 0.995
Rh: 0.399 0.830 0.966
Rh: 0.160 0.718 0.477
Rh: 0.408 0.357 0.983
Rh: 0.912 0.600 0.988
Rh: 0.670 0.491 0.488
Rh: 0.655 0.950 0.492
H: 0.528 0.664 0.211
H: 0.678 0.266 0.672

energy relative to the lowest polymorph listed for this composition = 33 meV/atom

Record 5
Zr2SeI | PBE | optimized geometry

Cell: 4.933 4.933 4.933 Å, 60.00 60.00 60.00°
Fractional coordinates of all 4 atoms:
Se: 0.000 0.000 0.000
I: 0.500 0.500 0.500
Zr: 0.750 0.750 0.750
Zr: 0.250 0.250 0.250

E_form (uncorrected) = -0.489 eV per atom
energy relative to the lowest polymorph listed for this composition = 0 meV/atom

Record 6
Tb2PrTmBi5 | PBE | optimized geometry

Cell: 5.353 5.353 12.118 Å, 90.00 90.00 90.00°
Fractional coordinates of all 9 atoms:
Tb: 0.500 0.500 0.263
Tb: 0.500 0.500 0.737
Bi: 0.500 0.500 0.000
Bi: 0.000 0.000 0.749
Bi: 0.000 0.000 0.251
Bi: 0.500 0.000 0.500
Bi: 0.000 0.500 0.500
Tm: 0.000 0.000 0.500
Pr: 0.000 0.000 0.000

formation energy from the elements = -0.05 eV/atom

Record 7
BeCu3Ir | PBE | optimized geometry

Cell: 4.626 4.626 4.626 Å, 90.00 90.00 90.00°
Fractional coordinates of all 5 atoms:
Cu: 0.000 0.500 0.000
Cu: 0.000 0.000 0.500
Cu: 0.500 0.000 0.000
Be: 0.500 0.500 0.500
Ir: 0.000 0.000 0.000

formation energy from the elements = 1.47 eV/atom
energy relative to the lowest polymorph listed for this composition = 911 meV/atom

Record 8
Mg2Hg2Te | PBE | optimized geometry

Cell: 4.181 4.181 7.958 Å, 74.77 74.77 90.00°
Fractional coordinates of all 5 atoms:
Hg: 0.750 0.250 0.500
Hg: 0.250 0.750 0.500
Te: 0.000 0.000 0.000
Mg: 0.600 0.600 0.799
Mg: 0.400 0.400 0.201

E_form (uncorrected) = -0.171 eV per atom
energy relative to the lowest polymorph listed for this composition = 50 meV/atom

Raw total energy
In order: -5.754 -8.199 -5.648 -5.255 -6.022 -4.268 -3.508 -1.558
Unit: eV/atom
Ρ
In order: 5.69 13.27 8.97 10.81 7.60 8.00 6.57 7.42
Unit: g/cm3
Magnetic moment
In order: 0.00 0.00 0.00 0.00 0.00 0.00 0.00 0.00
Unit: μB/f.u.